[1]
Compound: Ca7Bi4H
Source: Alexandria
Functional: PBE-GGA
Structure: optimized geometry

Cell and atoms, written as extended XYZ:
```
12
Lattice="5.2936 0.0000 0.0000 2.6468 8.8840 0.2579 2.6468 0.7234 8.4025" Properties=species:S:1:pos:R:3 pbc="T T T"
Ca 7.9404 7.9999 4.9240
Ca 2.6468 1.6074 3.7363
Ca 2.6468 6.5898 1.1540
Ca 7.9404 3.0176 7.5063
Ca 5.2936 5.4604 6.1837
Ca 2.6468 0.0000 0.0000
Ca 5.2936 4.1469 2.4767
Bi 5.2936 2.3124 5.3931
Bi 5.2936 7.2950 3.2672
Bi 7.9404 6.5129 7.6883
Bi 2.6468 3.0945 0.9720
H 0.0000 0.0000 0.0000
```

Values from the calculation:
DFT total energy: -3.46 eV/atom
space-group type: No. 12
D(E_F): 4.33 states/eV per cell

=====

[2]
Compound: HfTaNbMo
Source: Alexandria
Functional: PBE-GGA
Structure: optimized geometry

Cell and atoms, written as extended XYZ:
```
4
Lattice="-0.7832 -3.1640 -0.3474 -0.0488 -0.3472 3.2715 -5.8334 4.8268 0.4251" Properties=species:S:1:pos:R:3 pbc="T T T"
Hf -3.9231 1.1919 1.4895
Ta -1.2272 -2.8436 1.1017
Nb -2.5106 -1.0226 2.9301
Mo -5.2299 3.0223 3.3189
```

Values from the calculation:
DFT total energy: -10.71 eV/atom
space-group type: No. 6
formation energy: -0.032 eV/atom
D(E_F): 6.10 states/eV per cell

=====

no.,energy above the lowest structure with this stoichiometry (eV/atom)
1,0.047
2,0.000